# 1
Pr4InAg2Pt | PBE | optimized geometry

Results
* DOS(E_F): 6.69 states/eV/f.u.
* E_tot: -4.73 eV per atom
* calculated formation energy: -4.20 eV per formula unit

abc: 5.3341 5.3341 26.0745
angles: 90.00 90.00 120.00
With the nearest neighbours (Å) after each atom.
Space group R-3m (No. 166, hexagonal axes)
Asymmetric unit:
Pr 0.0000 0.0000 0.1159 x6  1 Pt 3.02, 4 Ag 3.13-3.21, 3 In 3.35
Pr 0.0000 0.0000 0.3686 x6  3 Pt 3.21, 4 Ag 3.38-3.44, 1 In 3.43, 3 Pr 3.59
In 0.0000 0.0000 0.5000 x3  8 Pr 3.35-3.43, 6 Ag 3.61
Ag 0.0000 0.0000 0.2389 x6  8 Pr 3.13-3.44
Pt 0.0000 0.0000 0.0000 x3  8 Pr 3.02-3.21

# 2
Mg12GaPd6 | PBE | optimized geometry

Results
* DOS(E_F): 13.31 states/eV/f.u.
* E_tot: -3.21 eV per atom
* calculated formation energy: -7.67 eV per formula unit
* relative energy among the computed polymorphs: 0.068 eV per atom

abc: 8.9822 8.9822 8.9822
angles: 90.00 90.00 90.00
With the nearest neighbours (Å) after each atom.
Space group Im-3 (No. 204)
Asymmetric unit:
Mg 0.0000 0.1739 0.2838 x24  1 Pd 2.51
Ga 0.0000 0.0000 0.0000 x2  12 Mg 2.99
Pd 0.0000 0.3515 0.5000 x12  2 Mg 2.51, 1 Pd 2.67

# 3
Rb2CdPPt | PBE | optimized geometry

Results
* DOS(E_F): 2.22 states/eV/f.u.
* E_tot: -3.09 eV per atom
* calculated formation energy: -1.17 eV per formula unit
* relative energy among the computed polymorphs: 0.002 eV per atom

abc: 6.6728 6.6728 4.3883
angles: 90.00 90.00 90.00
With the nearest neighbours (Å) after each atom.
Space group P4/mmm (No. 123)
Asymmetric unit:
Rb 0.0000 0.5000 0.0000 x2  2 P 3.34
Cd 0.0000 0.0000 0.5000 x1  8 Rb 3.99, 2 Cd 4.39
P 0.5000 0.5000 0.0000 x1  2 Pt 2.19
Pt 0.5000 0.5000 0.5000 x1  2 P 2.19

# 4
NaBe2Cr | PBE | optimized geometry

Results
* DOS(E_F): 0.66 states/eV/f.u.
* E_tot: -3.52 eV per atom
* calculated formation energy: 4.30 eV per formula unit
* relative energy among the computed polymorphs: 0.062 eV per atom

abc: 6.6906 6.6906 5.2334
angles: 90.00 90.00 90.00
With the nearest neighbours (Å) after each atom.
Space group I-42d (No. 122)
Asymmetric unit:
Na 0.0000 0.0000 0.0000 x4  4 Be 2.58, 2 Cr 2.62
Be 0.2230 0.2500 0.6250 x8  2 Cr 2.33, 2 Na 2.58
Cr 0.0000 0.0000 0.5000 x4  4 Be 2.33

# 5
CdCu2Tc | PBE | optimized geometry

Results
* DOS(E_F): 3.60 states/eV/f.u.
* E_tot: -4.57 eV per atom
* calculated formation energy: 1.19 eV per formula unit

abc: 2.6842 3.8246 5.7663
angles: 90.00 90.00 90.00
With the nearest neighbours (Å) after each atom.
Space group Pmmm (No. 47)
Asymmetric unit:
Cd 0.0000 0.0000 0.0000 x1  2 Cd 2.68, 8 Cu 2.83, 2 Tc 2.88
Cu 0.5000 0.5000 0.2763 x2  3 Cu 2.58-2.68, 4 Tc 2.67, 4 Cd 2.83
Tc 0.0000 0.0000 0.5000 x1  8 Cu 2.67, 2 Tc 2.68, 2 Cd 2.88

# 6
SrNpSc2O8 | PBE | optimized geometry

Results
* E_tot: -8.40 eV per atom
* uncorrected formation energy: -2.823 eV/atom

abc: 4.9424 7.0163 4.9501
angles: 90.00 90.45 90.00
With the nearest neighbours (Å) after each atom.
Space group P2/m (No. 10)
Asymmetric unit:
Sr 0.0000 0.0000 0.0000 x1  6 O 2.45-2.46
Np 0.0000 0.5000 0.0000 x1  6 O 1.99-2.10
Sc 0.5000 0.2619 0.5000 x2  6 O 2.12-2.19
O 0.1962 0.2926 0.1947 x4  1 Np 1.99, 1 Sc 2.13
O 0.2986 0.5000 0.7000 x2  1 Np 2.10, 2 Sc 2.19
O 0.3476 0.0000 0.6508 x2  2 Sc 2.12, 1 O 2.13